No. 1
Material: Ca2Ac5Pt5
Method: DFT, PBE-GGA
State: relaxed

Summary:
Fermi-level density of states	0.5635	states/eV/atom
energy	-5.54	eV/atom

The structure in CIF format:
```
data_Ca2Ac5Pt5
_cell_length_a 14.422
_cell_length_b 4.253
_cell_length_c 12.719
_cell_angle_alpha 90.00
_cell_angle_beta 104.68
_cell_angle_gamma 90.00
_space_group_name_H-M_alt 'C 1 2/m 1'
_space_group_IT_number 12
loop_
_space_group_symop_operation_xyz
'x,y,z'
'-x,-y,-z'
'-x,y,-z'
'x,-y,z'
'x+1/2,y+1/2,z'
'-x+1/2,-y+1/2,-z'
'-x+1/2,y+1/2,-z'
'x+1/2,-y+1/2,z'
loop_
_atom_site_label
_atom_site_type_symbol
_atom_site_fract_x
_atom_site_fract_y
_atom_site_fract_z
Ca1 Ca 0.042 0.000 0.285
Ac1 Ac 0.000 0.500 0.000
Ac2 Ac 0.152 0.500 0.547
Ac3 Ac 0.240 0.500 0.856
Pt1 Pt 0.000 0.000 0.500
Pt2 Pt 0.115 0.000 0.921
Pt3 Pt 0.201 0.500 0.316
```


No. 2
Material: CaAc6Pt4
Method: DFT, PBE-GGA
State: relaxed

Summary:
Fermi-level density of states	0.7761	states/eV/atom
energy	-5.36	eV/atom

The structure in CIF format:
```
data_CaAc6Pt4
_cell_length_a 9.250
_cell_length_b 8.897
_cell_length_c 9.395
_cell_angle_alpha 90.00
_cell_angle_beta 112.96
_cell_angle_gamma 90.00
_space_group_name_H-M_alt 'C 1 m 1'
_space_group_IT_number 8
loop_
_space_group_symop_operation_xyz
'x,y,z'
'x,-y,z'
'x+1/2,y+1/2,z'
'x+1/2,-y+1/2,z'
loop_
_atom_site_label
_atom_site_type_symbol
_atom_site_fract_x
_atom_site_fract_y
_atom_site_fract_z
Ca1 Ca 0.000 0.000 0.000
Ac1 Ac 0.057 0.500 0.687
Ac2 Ac 0.080 0.000 0.650
Ac3 Ac 0.200 0.266 0.378
Ac4 Ac 0.310 0.214 0.034
Pt1 Pt 0.348 0.270 0.729
Pt2 Pt 0.412 0.000 0.319
Pt3 Pt 0.424 0.500 0.293
```


No. 3
Material: Ca2AcPt
Method: DFT, PBE-GGA
State: relaxed

Summary:
energy above the most stable polymorph in this dataset	116.4	kJ/mol of formula units
Fermi-level density of states	0.9742	states/eV/atom
energy	-3.85	eV/atom

The structure in CIF format:
```
data_Ca2AcPt
_cell_length_a 3.9185
_cell_length_b 3.9185
_cell_length_c 33.1959
_cell_angle_alpha 90.00
_cell_angle_beta 90.00
_cell_angle_gamma 120.00
_space_group_name_H-M_alt 'R -3 m'
_space_group_IT_number 166
_space_group_name_Hall '-R 3 2"'
loop_
_atom_site_label
_atom_site_type_symbol
_atom_site_fract_x
_atom_site_fract_y
_atom_site_fract_z
Ca1 Ca 0.0000 0.0000 0.1152
Ac1 Ac 0.0000 0.0000 0.0000
Pt1 Pt 0.0000 0.0000 0.5000
```


No. 4
Material: Ca2Ac3Pt4
Method: DFT, PBE-GGA
State: relaxed

Summary:
Fermi-level density of states	0.5912	states/eV/atom
energy	-5.44	eV/atom

The structure in CIF format:
```
data_Ca2Ac3Pt4
_cell_length_a 14.106
_cell_length_b 4.153
_cell_length_c 9.345
_cell_angle_alpha 90.00
_cell_angle_beta 101.18
_cell_angle_gamma 90.00
_space_group_name_H-M_alt 'C 1 2/m 1'
_space_group_IT_number 12
loop_
_space_group_symop_operation_xyz
'x,y,z'
'-x,-y,-z'
'-x,y,-z'
'x,-y,z'
'x+1/2,y+1/2,z'
'-x+1/2,-y+1/2,-z'
'-x+1/2,y+1/2,-z'
'x+1/2,-y+1/2,z'
loop_
_atom_site_label
_atom_site_type_symbol
_atom_site_fract_x
_atom_site_fract_y
_atom_site_fract_z
Ca1 Ca 0.195 0.000 0.319
Ac1 Ac 0.000 0.500 0.500
Ac2 Ac 0.104 0.000 0.901
Pt1 Pt 0.058 0.500 0.150
Pt2 Pt 0.153 0.000 0.611
```


No. 5
Material: CaAcPt4
Method: DFT, PBE-GGA
State: relaxed

Summary:
Fermi-level density of states	0.8288	states/eV/atom
energy	-6.06	eV/atom

The structure in CIF format:
```
data_CaAcPt4
_cell_length_a 7.864
_cell_length_b 7.864
_cell_length_c 7.864
_cell_angle_alpha 90.00
_cell_angle_beta 90.00
_cell_angle_gamma 90.00
_space_group_name_H-M_alt 'F -4 3 m'
_space_group_IT_number 216
_space_group_name_Hall 'F -4 2 3'
loop_
_atom_site_label
_atom_site_type_symbol
_atom_site_fract_x
_atom_site_fract_y
_atom_site_fract_z
Ca1 Ca 0.000 0.000 0.000
Ac1 Ac 0.250 0.250 0.750
Pt1 Pt 0.126 0.126 0.374
```


No. 6
Material: CaAc5Pt4
Method: DFT, PBE-GGA
State: relaxed

Summary:
Fermi-level density of states	0.5910	states/eV/atom
energy	-5.49	eV/atom

The structure in CIF format:
```
data_CaAc5Pt4
_cell_length_a 9.215
_cell_length_b 10.338
_cell_length_c 7.487
_cell_angle_alpha 90.00
_cell_angle_beta 90.00
_cell_angle_gamma 90.00
_space_group_name_H-M_alt 'P m m n'
_space_group_IT_number 59
loop_
_space_group_symop_operation_xyz
'x,y,z'
'-x,-y,-z'
'-x+1/2,-y+1/2,z'
'x+1/2,y+1/2,-z'
'x+1/2,-y,-z'
'-x+1/2,y,z'
'-x,y+1/2,-z'
'x,-y+1/2,z'
loop_
_atom_site_label
_atom_site_type_symbol
_atom_site_fract_x
_atom_site_fract_y
_atom_site_fract_z
Ca1 Ca 0.250 0.250 0.169
Ac1 Ac 0.010 0.553 0.256
Ac2 Ac 0.250 0.750 0.777
Pt1 Pt 0.016 0.250 0.437
Pt2 Pt 0.250 0.000 0.986
```


No. 7
Material: CaAcPt2
Method: DFT, PBE-GGA
State: relaxed

Summary:
energy above the most stable polymorph in this dataset	27.7	kJ/mol of formula units
Fermi-level density of states	0.3365	states/eV/atom
energy	-5.54	eV/atom

The structure in CIF format:
```
data_CaAcPt2
_cell_length_a 7.300
_cell_length_b 7.300
_cell_length_c 7.300
_cell_angle_alpha 90.00
_cell_angle_beta 90.00
_cell_angle_gamma 90.00
_space_group_name_H-M_alt 'F m -3 m'
_space_group_IT_number 225
_space_group_name_Hall '-F 4 2 3'
loop_
_atom_site_label
_atom_site_type_symbol
_atom_site_fract_x
_atom_site_fract_y
_atom_site_fract_z
Ca1 Ca 0.000 0.000 0.000
Ac1 Ac 0.000 0.000 0.500
Pt1 Pt 0.250 0.250 0.250
```


No. 8
Material: CaAcPt
Method: DFT, PBE-GGA
State: relaxed

Summary:
energy above the most stable polymorph in this dataset	0.0	kJ/mol of formula units
Fermi-level density of states	0.6540	states/eV/atom
energy	-4.88	eV/atom

The structure in CIF format:
```
data_CaAcPt
_cell_length_a 4.292
_cell_length_b 4.292
_cell_length_c 5.817
_cell_angle_alpha 90.00
_cell_angle_beta 90.00
_cell_angle_gamma 90.00
_space_group_name_H-M_alt 'P 4/m m m'
_space_group_IT_number 123
_space_group_name_Hall '-P 4 2'
loop_
_atom_site_label
_atom_site_type_symbol
_atom_site_fract_x
_atom_site_fract_y
_atom_site_fract_z
Ca1 Ca 0.000 0.000 0.000
Ac1 Ac 0.500 0.500 0.500
Pt1 Pt 0.000 0.000 0.500
```


No. 9
Material: CaAcPt
Method: DFT, PBE-GGA
State: relaxed

Summary:
energy above the most stable polymorph in this dataset	26.4	kJ/mol of formula units
Fermi-level density of states	1.0185	states/eV/atom
energy	-4.79	eV/atom

The structure in CIF format:
```
data_CaAcPt
_cell_length_a 7.279
_cell_length_b 7.279
_cell_length_c 7.279
_cell_angle_alpha 90.00
_cell_angle_beta 90.00
_cell_angle_gamma 90.00
_space_group_name_H-M_alt 'F -4 3 m'
_space_group_IT_number 216
_space_group_name_Hall 'F -4 2 3'
loop_
_atom_site_label
_atom_site_type_symbol
_atom_site_fract_x
_atom_site_fract_y
_atom_site_fract_z
Ca1 Ca 0.000 0.000 0.000
Ac1 Ac 0.000 0.000 0.500
Pt1 Pt 0.250 0.250 0.250
```


No. 10
Material: Ca2AcPt9
Method: DFT, PBE-GGA
State: relaxed

Summary:
Fermi-level density of states	0.7244	states/eV/atom
energy	-6.06	eV/atom

The structure in CIF format:
```
data_Ca2AcPt9
_cell_length_a 5.4860
_cell_length_b 5.4860
_cell_length_c 26.6447
_cell_angle_alpha 90.00
_cell_angle_beta 90.00
_cell_angle_gamma 120.00
_space_group_name_H-M_alt 'R -3 m'
_space_group_IT_number 166
_space_group_name_Hall '-R 3 2"'
loop_
_atom_site_label
_atom_site_type_symbol
_atom_site_fract_x
_atom_site_fract_y
_atom_site_fract_z
Ca1 Ca 0.0000 0.0000 0.1428
Ac1 Ac 0.0000 0.0000 0.0000
Pt1 Pt 0.0000 0.0000 0.3325
Pt2 Pt 0.0000 0.0000 0.5000
Pt3 Pt 0.0028 0.5014 0.9151
```


No. 11
Material: CaAc3Pt2
Method: DFT, PBE-GGA
State: relaxed

Summary:
Fermi-level density of states	0.6608	states/eV/atom
energy	-5.22	eV/atom

The structure in CIF format:
```
data_CaAc3Pt2
_cell_length_a 7.359
_cell_length_b 13.941
_cell_length_c 4.383
_cell_angle_alpha 90.00
_cell_angle_beta 90.00
_cell_angle_gamma 90.00
_space_group_name_H-M_alt 'P n n m'
_space_group_IT_number 58
loop_
_space_group_symop_operation_xyz
'x,y,z'
'-x,-y,-z'
'-x,-y,z'
'x,y,-z'
'x+1/2,-y+1/2,-z+1/2'
'-x+1/2,y+1/2,z+1/2'
'-x+1/2,y+1/2,-z+1/2'
'x+1/2,-y+1/2,z+1/2'
loop_
_atom_site_label
_atom_site_type_symbol
_atom_site_fract_x
_atom_site_fract_y
_atom_site_fract_z
Ca1 Ca 0.000 0.000 0.000
Ac1 Ac 0.000 0.500 0.000
Ac2 Ac 0.158 0.241 0.500
Pt1 Pt 0.174 0.624 0.500
```